# 1
The following is a GGA-PBE calculation of crystalline TeMoBr2 at its relaxed geometry, from Alexandria.

As for the uncorrected formation energy: 0.65 eV/atom. Its electronic total energy is -0.2704 Ry/atom. The crystal system is orthorhombic.

abc: 3.369 4.863 6.003
angles: 90.00 90.00 90.00
Space group Pmmm (No. 47)
Symmetry-distinct sites (fractional):
Te (0.000, 0.000, 0.000)
Mo (0.500, 0.000, 0.500)
Br (0.000, 0.500, 0.500)
Br (0.500, 0.500, 0.000)


# 2
The following is a GGA-PBE calculation of crystalline TmAl10Os2 at its relaxed geometry, from Alexandria.

As for the formation energy: -0.45 eV per atom. Its electronic total energy is -0.3972 Ry/atom. The crystal system is orthorhombic.

abc: 9.114 10.207 9.135
angles: 90.00 90.00 90.00
Space group Cmcm (No. 63)
Symmetry-distinct sites (fractional):
Tm (0.000, 0.131, 0.250)
Al (0.000, 0.155, 0.601)
Al (0.000, 0.377, 0.047)
Al (0.151, 0.368, 0.750)
Al (0.218, 0.366, 0.250)
Al (0.223, 0.000, 0.000)
Os (0.250, 0.250, 0.000)


# 3
The following is a GGA-PBE calculation of crystalline La6GaPt2I3 at its relaxed geometry, from Alexandria.

As for the uncorrected formation energy: -1.05 eV/atom. Its electronic total energy is -0.3792 Ry/atom. The crystal system is monoclinic.

abc: 7.596 13.170 8.432
angles: 90.00 107.53 90.00
Space group C2/m (No. 12)
Symmetry-distinct sites (fractional):
La (0.220, 0.000, 0.197)
La (0.241, 0.327, 0.199)
Ga (0.000, 0.500, 0.000)
Pt (0.000, 0.168, 0.000)
I (0.000, 0.000, 0.500)
I (0.000, 0.339, 0.500)


# 4
The following is a GGA-PBE calculation of crystalline Sm2TmSi2 at its relaxed geometry, from Alexandria.

As for the uncorrected formation energy: -0.64 eV/atom. Its electronic total energy is -0.4107 Ry/atom. The crystal system is monoclinic.

abc: 12.296 4.318 10.574
angles: 90.00 116.84 90.00
Space group C2/m (No. 12)
Symmetry-distinct sites (fractional):
Sm (0.016, 0.000, 0.188)
Sm (0.179, 0.000, 0.591)
Tm (0.224, 0.500, 0.866)
Si (0.012, 0.500, 0.393)
Si (0.111, 0.500, 0.056)


no.,calculated density (g cm⁻³)
1,6.5
2,6.4
3,6.9
4,7.0